A plane-wave DFT calculation with PBE was carried out for an optimized crystal structure of Al5Ag.

abc: 2.9350 4.8594 7.6266
angles: 71.01 78.39 90.28
Last column: nearest neighbours and their distance in Å.
Atoms (fractional coordinates):
Ag  0.0000  0.0000  0.0000  10 Al 2.83-2.91, 2 Ag 2.93
Al  0.8339  0.1647  0.3385  11 Al 2.81-2.93, 1 Ag 2.90
Al  0.6651  0.3379  0.6650  10 Al 2.81-2.93, 2 Ag 2.87-2.91
Al  0.5000  0.5000  0.0000  4 Ag 2.83-2.84, 8 Al 2.86-2.93
Al  0.3349  0.6621  0.3350  10 Al 2.81-2.93, 2 Ag 2.87-2.91
Al  0.1661  0.8353  0.6615  11 Al 2.81-2.93, 1 Ag 2.90

- crystal system = triclinic
- ΔH_f (0 K) (eV/atom) = -0.0037
- polymorph energy (0 for the lowest one) (meV/atom) = 6
- density (g cm⁻³) = 4.01

A plane-wave DFT calculation with PBE was carried out for an optimized crystal structure of Al2Ag5.

abc: 12.7645 3.0890 3.0890
angles: 90.00 83.05 83.05
Last column: nearest neighbours and their distance in Å.
Atoms (fractional coordinates):
Ag  0.9877  0.0062  0.0062  4 Al 2.75, 4 Ag 2.93
Ag  0.1429  0.4286  0.4286  12 Ag 2.93-3.09
Ag  0.2980  0.8510  0.8510  4 Al 2.75, 4 Ag 2.93
Ag  0.5639  0.7180  0.7180  4 Al 2.75, 4 Ag 2.95
Ag  0.7218  0.1391  0.1391  4 Al 2.75, 4 Ag 2.95
Al  0.4313  0.2844  0.2844  8 Ag 2.75
Al  0.8544  0.5728  0.5728  8 Ag 2.75

- crystal system = tetragonal
- ΔH_f (0 K) (eV/atom) = -0.0418
- polymorph energy (0 for the lowest one) (meV/atom) = 6
- density (g cm⁻³) = 8.21